Crystalline CsHRh at its relaxed geometry, computed with PBE-GGA.

Cell lengths 4.741, 3.343, 11.487 Å; angles 90.00, 90.00, 135.16 degrees
Atoms (fractional coordinates):
Cs 0.153 0.307 0.835
Cs 0.153 0.307 0.165
H 0.652 0.305 0.000
H 0.389 0.778 0.500
Rh 0.659 0.319 0.393
Rh 0.659 0.319 0.607

Summary:
For the volume, the calculation gives 21.4 Å³ per atom. The crystal system is orthorhombic. As for the total DFT energy (no corrections): -9.305 eV per formula unit. As for the size of the total moment: 1.480 Bohr magnetons per cell.

Crystalline CsH3Rh at its relaxed geometry, computed with PBE-GGA.

Cell lengths 3.981, 3.981, 3.981 Å; angles 90.00, 90.00, 90.00 degrees
Atoms (fractional coordinates):
Cs 0.500 0.500 0.500
H 0.000 0.500 0.000
H 0.000 0.000 0.500
H 0.500 0.000 0.000
Rh 0.000 0.000 0.000

Summary:
For the volume, the calculation gives 12.6 Å³ per atom. The crystal system is cubic. Its polymorph energy (0 for the lowest one) is 379 meV/atom. As for the total DFT energy (no corrections): -17.517 eV per formula unit. As for the size of the total moment: 0.000 Bohr magnetons per cell.

Crystalline CsH4Rh at its relaxed geometry, computed with PBE-GGA.

Cell lengths 4.957, 6.379, 7.499 Å; angles 115.17, 111.67, 90.00 degrees
Atoms (fractional coordinates):
Cs 0.928 0.834 0.668
Cs 0.072 0.166 0.332
H 0.279 0.657 0.314
H 0.428 0.245 0.813
H 0.000 0.312 0.000
H 0.572 0.431 0.187
H 0.721 0.343 0.686
H 0.572 0.755 0.187
H 0.000 0.688 0.000
H 0.428 0.569 0.813
Rh 0.299 0.545 0.089
Rh 0.701 0.455 0.911

Summary:
For the volume, the calculation gives 16.3 Å³ per atom. The crystal system is monoclinic. Its polymorph energy (0 for the lowest one) is 19 meV/atom. As for the total DFT energy (no corrections): -22.627 eV per formula unit. As for the size of the total moment: 0.000 Bohr magnetons per cell.

Crystalline Cs3HRh at its relaxed geometry, computed with PBE-GGA.

Cell lengths 5.875, 5.875, 5.875 Å; angles 90.00, 90.00, 90.00 degrees
Atoms (fractional coordinates):
Cs 0.000 0.500 0.000
Cs 0.000 0.000 0.500
Cs 0.500 0.000 0.000
H 0.000 0.000 0.000
Rh 0.500 0.500 0.500

Summary:
For the volume, the calculation gives 40.6 Å³ per atom. The crystal system is cubic. Its polymorph energy (0 for the lowest one) is 0 meV/atom. As for the total DFT energy (no corrections): -11.141 eV per formula unit. As for the size of the total moment: 1.000 Bohr magnetons per cell.

Crystalline Cs3H4Rh at its relaxed geometry, computed with PBE-GGA.

Cell lengths 6.470, 6.470, 6.470 Å; angles 84.18, 127.14, 119.84 degrees
Atoms (fractional coordinates):
Cs 0.519 0.272 0.791
Cs 0.019 0.000 0.019
Cs 0.519 0.728 0.247
H 0.019 0.678 0.697
H 0.019 0.322 0.341
H 0.756 0.238 0.519
H 0.281 0.762 0.519
Rh 0.019 0.500 0.519

Summary:
For the volume, the calculation gives 22.4 Å³ per atom. The crystal system is orthorhombic. As for the total DFT energy (no corrections): -24.869 eV per formula unit. As for the size of the total moment: 0.126 Bohr magnetons per cell.

Crystalline Cs2H5Rh at its relaxed geometry, computed with PBE-GGA.

Cell lengths 6.164, 6.177, 6.177 Å; angles 84.49, 63.22, 116.79 degrees
Atoms (fractional coordinates):
Cs 0.555 0.301 0.200
Cs 0.555 0.800 0.699
H 0.687 0.866 0.134
H 0.056 0.234 0.135
H 0.056 0.866 0.766
H 0.058 0.870 0.130
H 0.424 0.234 0.766
Rh 0.055 0.053 0.947

Summary:
For the volume, the calculation gives 21.7 Å³ per atom. The crystal system is monoclinic. As for the total DFT energy (no corrections): -27.471 eV per formula unit. As for the size of the total moment: 0.093 Bohr magnetons per cell.

Crystalline Cs4H6Rh at its relaxed geometry, computed with PBE-GGA.

Cell lengths 8.503, 8.503, 8.503 Å; angles 91.45, 91.45, 88.55 degrees
Atoms (fractional coordinates):
Cs 0.329 0.171 0.250
Cs 0.829 0.250 0.329
Cs 0.250 0.671 0.171
Cs 0.250 0.250 0.750
Cs 0.750 0.750 0.250
Cs 0.750 0.329 0.829
Cs 0.171 0.750 0.671
Cs 0.671 0.829 0.750
H 0.806 0.033 0.033
H 0.033 0.194 0.033
H 0.533 0.467 0.306
H 0.967 0.033 0.806
H 0.533 0.306 0.533
H 0.306 0.467 0.467
H 0.694 0.533 0.533
H 0.467 0.694 0.467
H 0.033 0.967 0.194
H 0.467 0.533 0.694
H 0.967 0.806 0.967
H 0.194 0.967 0.967
Rh 0.500 0.500 0.500
Rh 0.000 0.000 0.000

Summary:
For the volume, the calculation gives 27.9 Å³ per atom. The crystal system is trigonal. As for the total DFT energy (no corrections): -33.505 eV per formula unit. As for the size of the total moment: 0.000 Bohr magnetons per cell.

Crystalline Cs2HRh at its relaxed geometry, computed with PBE-GGA.

Cell lengths 8.400, 8.400, 8.400 Å; angles 136.01, 136.01, 63.96 degrees
Atoms (fractional coordinates):
Cs 0.098 0.625 0.973
Cs 0.652 0.125 0.027
Cs 0.375 0.348 0.473
Cs 0.875 0.902 0.527
H 0.250 0.750 0.500
H 0.500 0.500 0.000
Rh 0.750 0.250 0.500
Rh 0.000 0.000 0.000

Summary:
For the volume, the calculation gives 35.3 Å³ per atom. The crystal system is tetragonal. Its polymorph energy (0 for the lowest one) is 0 meV/atom. As for the total DFT energy (no corrections): -9.595 eV per formula unit. As for the size of the total moment: 0.003 Bohr magnetons per cell.

Crystalline Cs2HRh at its relaxed geometry, computed with PBE-GGA.

Cell lengths 5.342, 5.342, 5.342 Å; angles 60.00, 60.00, 60.00 degrees
Atoms (fractional coordinates):
Cs 0.250 0.250 0.250
Cs 0.750 0.750 0.750
H 0.000 0.000 0.000
Rh 0.500 0.500 0.500

Summary:
For the volume, the calculation gives 26.9 Å³ per atom. The crystal system is cubic. Its polymorph energy (0 for the lowest one) is 98 meV/atom. As for the total DFT energy (no corrections): -9.205 eV per formula unit. As for the size of the total moment: 0.000 Bohr magnetons per cell.

Crystalline CsH2Rh at its relaxed geometry, computed with PBE-GGA.

Cell lengths 4.533, 4.533, 4.533 Å; angles 60.00, 60.00, 60.00 degrees
Atoms (fractional coordinates):
Cs 0.500 0.500 0.500
H 0.250 0.250 0.250
H 0.750 0.750 0.750
Rh 0.000 0.000 0.000

Summary:
For the volume, the calculation gives 16.5 Å³ per atom. The crystal system is cubic. Its polymorph energy (0 for the lowest one) is 1144 meV/atom. As for the total DFT energy (no corrections): -10.121 eV per formula unit. As for the size of the total moment: 0.000 Bohr magnetons per cell.

Crystalline CsH7Rh2 at its relaxed geometry, computed with PBE-GGA.

Cell lengths 3.577, 5.749, 5.749 Å; angles 122.43, 90.00, 90.00 degrees
Atoms (fractional coordinates):
Cs 0.000 0.000 0.000
H 0.000 0.679 0.321
H 0.000 0.321 0.679
H 0.500 0.023 0.363
H 0.500 0.977 0.637
H 0.500 0.363 0.023
H 0.500 0.637 0.977
H 0.500 0.500 0.500
Rh 0.500 0.687 0.313
Rh 0.500 0.313 0.687

Summary:
For the volume, the calculation gives 10.0 Å³ per atom. The crystal system is orthorhombic. As for the total DFT energy (no corrections): -39.461 eV per formula unit. As for the size of the total moment: 0.000 Bohr magnetons per cell.

Crystalline CsH4Rh at its relaxed geometry, computed with PBE-GGA.

Cell lengths 5.000, 7.257, 7.257 Å; angles 127.81, 87.88, 87.88 degrees
Atoms (fractional coordinates):
Cs 0.750 0.645 0.355
Cs 0.250 0.355 0.645
H 0.916 0.754 0.027
H 0.012 0.110 0.204
H 0.584 0.973 0.246
H 0.488 0.796 0.890
H 0.512 0.204 0.110
H 0.416 0.027 0.754
H 0.988 0.890 0.796
H 0.084 0.246 0.973
Rh 0.250 0.045 0.955
Rh 0.750 0.955 0.045

Summary:
For the volume, the calculation gives 17.3 Å³ per atom. The crystal system is monoclinic. Its polymorph energy (0 for the lowest one) is 0 meV/atom. As for the total DFT energy (no corrections): -22.744 eV per formula unit. As for the size of the total moment: 0.000 Bohr magnetons per cell.